Computed, not measured: a relaxed CoAgMo crystal at the PBE level of DFT.

a = 4.3841 Å, b = 4.3841 Å, c = 2.6394 Å
α = 90.00°, β = 90.00°, γ = 120.00°
Last column: nearest neighbours and their distance in Å.
Atoms (fractional coordinates):
Ag 0.0000 0.0000 0.0570  2 Ag 2.64, 3 Co 2.65, 6 Mo 2.81-2.90
Co 0.6667 0.3333 0.3498  3 Mo 2.61, 2 Co 2.64, 3 Ag 2.65
Mo 0.3333 0.6667 0.5933  3 Co 2.61, 2 Mo 2.64, 6 Ag 2.81-2.90

Properties
* electronic total energy: -0.4733 Ry per atom
* space group: P3m1 (156)